# TlZnP2

A geometry-optimized TlZnP2 structure (PBE, Alexandria).

Cell: 9.5695 3.2776 5.8663 Å, 90.00 105.56 90.00°
Last column: nearest neighbours and their distance in Å.
Positions (direct):
Tl 0.0000 0.0000 0.0000  2 Tl 3.28, 4 Zn 3.36, 6 P 3.39-3.49
Tl 0.5000 0.5000 0.0000  2 Tl 3.28, 4 Zn 3.36, 6 P 3.39-3.49
Zn 0.0000 0.5000 0.5000  6 P 2.64-2.90
Zn 0.5000 0.0000 0.5000  6 P 2.64-2.90
P 0.2248 0.0000 0.6189  2 P 2.29
P 0.2752 0.5000 0.3811  2 P 2.29
P 0.7248 0.5000 0.6189  2 P 2.29
P 0.7752 0.0000 0.3811  2 P 2.29

Properties
Magnetic moment (μB per formula unit): 0.0
Crystal system: monoclinic
Offset from the most stable computed form (meV/atom): 83
Energy of formation (eV per atom): 0.190